[1]
# AsPt2Au

A relaxed structure of AsPt2Au (GGA-PBE, the Alexandria database).

abc: 2.8703 4.9102 4.8084
angles: 90.00 90.00 90.00
Positions (direct):
As 0.5000 0.0000 0.5000
Au 0.0000 0.5000 0.5000
Pt 0.0000 0.0000 0.0000
Pt 0.5000 0.5000 0.0000

Formation energy = 0.10 eV/atom
VASP energy = -4.899 eV per atom
Space group = Pmmm (47)



[2]
# RbCd2NiPb

A relaxed structure of RbCd2NiPb (GGA-PBE, the Alexandria database).

abc: 5.2590 5.2590 5.1156
angles: 90.00 90.00 90.00
Positions (direct):
Pb 0.0000 0.0000 0.5000
Ni 0.0000 0.0000 0.0000
Rb 0.5000 0.5000 0.5000
Cd 0.0000 0.5000 0.0000
Cd 0.5000 0.0000 0.0000

Formation energy = 0.01 eV/atom
VASP energy = -2.452 eV per atom
Space group = P4/mmm (123)



[3]
# CsVPbCl6

A relaxed structure of CsVPbCl6 (GGA-PBE, the Alexandria database).

abc: 7.0690 7.0699 7.4671
angles: 90.01 90.01 60.00
Site moments in Bohr magnetons follow the coordinates.
Positions (direct):
Cs 0.0000 0.0000 0.0000  0.00
V 0.3333 0.3334 0.5000  1.89
Pb 0.6667 0.6666 0.5000  0.00
Cl 0.0518 0.3449 0.3111  -0.02
Cl 0.3448 0.0518 0.6889  -0.02
Cl 0.6033 0.3448 0.6889  -0.02
Cl 0.0518 0.6033 0.6889  -0.02
Cl 0.3448 0.6033 0.3111  -0.02
Cl 0.6033 0.0519 0.3111  -0.02

Raw formation energy = -1.39 eV/atom
VASP energy = -4.144 eV per atom
Space group = P312 (149)



[4]
# TbAl4Cu2Pd

A relaxed structure of TbAl4Cu2Pd (GGA-PBE, the Alexandria database).

abc: 4.2067 4.2067 9.1449
angles: 76.70 76.70 60.00
Positions (direct):
Tb 0.0000 0.0000 0.0000
Al 0.4031 0.4031 0.7908
Al 0.8713 0.8713 0.3860
Al 0.1287 0.1287 0.6140
Al 0.5969 0.5969 0.2092
Cu 0.7587 0.7587 0.7239
Cu 0.2413 0.2413 0.2761
Pd 0.5000 0.5000 0.5000

Formation energy = -0.44 eV/atom
VASP energy = -4.568 eV per atom
Space group = R-3m (166)



[5]
# Re3BiC

A relaxed structure of Re3BiC (GGA-PBE, the Alexandria database).

abc: 4.2391 4.2391 4.2391
angles: 90.00 90.00 90.00
Site moments in Bohr magnetons follow the coordinates.
Positions (direct):
Re 0.0000 0.5000 0.0000  0.50
Re 0.0000 0.0000 0.5000  0.66
Re 0.5000 0.0000 0.0000  0.51
C 0.0000 0.0000 0.0000  -0.03
Bi 0.5000 0.5000 0.5000  0.02

Formation energy = 0.87 eV/atom
Energy relative to the lowest polymorph listed for this composition = 0.0 meV per atom
VASP energy = -9.224 eV per atom
Space group = Pm-3m (221)



[6]
# Ta3Cu2Pt6

A relaxed structure of Ta3Cu2Pt6 (GGA-PBE, the Alexandria database).

abc: 3.6938 3.6938 13.8833
angles: 97.64 97.64 90.00
Positions (direct):
Ta 0.0000 0.0000 0.0000
Ta 0.8235 0.8235 0.6470
Ta 0.1765 0.1765 0.3530
Cu 0.3642 0.3642 0.7285
Cu 0.6358 0.6358 0.2715
Pt 0.0708 0.5708 0.1415
Pt 0.5708 0.0708 0.1415
Pt 0.9292 0.4292 0.8585
Pt 0.4292 0.9292 0.8585
Pt 0.7264 0.7264 0.4528
Pt 0.2736 0.2736 0.5472

Formation energy = -0.18 eV/atom
VASP energy = -7.450 eV per atom
Space group = I4/mmm (139)



[7]
# CsCoSiBi2

A relaxed structure of CsCoSiBi2 (GGA-PBE, the Alexandria database).

abc: 5.8182 4.5153 5.8182
angles: 90.00 90.00 90.00
Site moments in Bohr magnetons follow the coordinates.
Positions (direct):
Cs 0.5000 0.5000 0.5000  0.00
Si 0.0000 0.0000 0.0000  -0.04
Co 0.0000 0.5000 0.0000  1.42
Bi 0.0000 0.0000 0.5000  0.01
Bi 0.5000 0.0000 0.0000  0.02

Raw formation energy = 0.49 eV/atom
VASP energy = -3.734 eV per atom
Space group = P4/mmm (123)



[8]
# NaAcTeBr

A relaxed structure of NaAcTeBr (GGA-PBE, the Alexandria database).

abc: 5.5993 5.5993 5.5993
angles: 60.00 60.00 60.00
Site moments in Bohr magnetons follow the coordinates.
Positions (direct):
Na 0.0000 0.0000 0.0000  0.02
Ac 0.5000 0.5000 0.5000  0.16
Te 0.7500 0.7500 0.7500  0.00
Br 0.2500 0.2500 0.2500  0.01

Raw formation energy = -1.20 eV/atom
VASP energy = -3.756 eV per atom
Space group = F-43m (216)



[9]
# Ac2HoPd4Pb3

A relaxed structure of Ac2HoPd4Pb3 (GGA-PBE, the Alexandria database).

abc: 4.7793 4.7793 11.3263
angles: 90.00 90.00 90.00
Positions (direct):
Ac 0.5000 0.0000 0.2253
Ac 0.0000 0.5000 0.7747
Ho 0.5000 0.5000 0.5000
Pd 0.5000 0.5000 0.0000
Pd 0.0000 0.0000 0.0000
Pd 0.5000 0.0000 0.6377
Pd 0.0000 0.5000 0.3623
Pb 0.0000 0.0000 0.5000
Pb 0.5000 0.0000 0.8765
Pb 0.0000 0.5000 0.1235

Formation energy = -0.63 eV/atom
VASP energy = -5.100 eV per atom
Space group = P-4m2 (115)



[10]
# RbPr2H

A relaxed structure of RbPr2H (GGA-PBE, the Alexandria database).

abc: 3.8092 3.8092 10.9191
angles: 79.95 79.95 60.00
Positions (direct):
Pr 0.1230 0.1230 0.6310
Pr 0.8770 0.8770 0.3690
H 0.5000 0.5000 0.5000
Rb 0.0000 0.0000 0.0000

VASP energy = -3.408 eV per atom
Space group = R-3m (166)



[11]
# NaTbCd

A relaxed structure of NaTbCd (GGA-PBE, the Alexandria database).

abc: 3.2683 5.3335 5.3335
angles: 120.00 90.00 90.00
Positions (direct):
Na 0.8393 0.0000 0.0000
Tb 0.3328 0.3333 0.6667
Cd 0.8279 0.6667 0.3333

Formation energy = 0.02 eV/atom
Energy relative to the lowest polymorph listed for this composition = 19.7 meV per atom
VASP energy = -2.266 eV per atom
Space group = P3m1 (156)



[12]
# CaBe4In

A relaxed structure of CaBe4In (GGA-PBE, the Alexandria database).

abc: 4.9423 4.9423 4.9423
angles: 60.00 60.00 60.00
Positions (direct):
Ca 0.2500 0.2500 0.2500
Be 0.6183 0.6183 0.1450
Be 0.6183 0.1450 0.6183
Be 0.6183 0.6183 0.6183
Be 0.1450 0.6183 0.6183
In 0.0000 0.0000 0.0000

Formation energy = 0.32 eV/atom
VASP energy = -2.955 eV per atom
Space group = F-43m (216)



[13]
# AcLaLuGa

A relaxed structure of AcLaLuGa (GGA-PBE, the Alexandria database).

abc: 5.5587 5.5587 5.5587
angles: 60.00 60.00 60.00
Positions (direct):
Ac 0.5000 0.5000 0.5000
Lu 0.7500 0.7500 0.7500
Ga 0.0000 0.0000 0.0000
La 0.2500 0.2500 0.2500

Formation energy = 0.03 eV/atom
VASP energy = -4.111 eV per atom
Space group = F-43m (216)



[14]
# SmAlPd5

A relaxed structure of SmAlPd5 (GGA-PBE, the Alexandria database).

abc: 4.1572 4.1572 7.0983
angles: 90.00 90.00 90.00
Positions (direct):
Sm 0.0000 0.0000 0.5000
Al 0.5000 0.5000 0.0000
Pd 0.0000 0.5000 0.7963
Pd 0.0000 0.5000 0.2037
Pd 0.5000 0.0000 0.7963
Pd 0.5000 0.0000 0.2037
Pd 0.5000 0.5000 0.5000

Formation energy = -0.74 eV/atom
VASP energy = -5.660 eV per atom
Space group = P4/mmm (123)



[15]
# Te3C

A relaxed structure of Te3C (GGA-PBE, the Alexandria database).

abc: 4.8446 4.8446 4.8446
angles: 90.00 90.00 90.00
Site moments in Bohr magnetons follow the coordinates.
Positions (direct):
C 0.0000 0.0000 0.0000  0.07
Te 0.5000 0.0000 0.0000  0.01
Te 0.0000 0.5000 0.0000  0.01
Te 0.0000 0.0000 0.5000  0.01

Energy relative to the lowest polymorph listed for this composition = 486.4 meV per atom
Raw formation energy = 1.29 eV/atom
VASP energy = -3.371 eV per atom
Space group = Pm-3m (221)



[16]
# Th2AlCo12Ni3

A relaxed structure of Th2AlCo12Ni3 (GGA-PBE, the Alexandria database).

abc: 11.7853 11.7853 11.7853
angles: 25.02 25.02 25.02
Site moments in Bohr magnetons follow the coordinates.
Positions (direct):
Th 0.6380 0.6380 0.6380  -0.23
Th 0.3620 0.3620 0.3620  -0.23
Al 0.0000 0.0000 0.0000  -0.03
Co 0.3969 0.3969 0.8667  1.76
Co 0.8963 0.8963 0.3874  0.96
Co 0.3874 0.8963 0.8963  0.96
Co 0.8667 0.3969 0.3969  1.76
Co 0.8963 0.3874 0.8963  0.96
Co 0.3969 0.8667 0.3969  1.76
Co 0.6031 0.6031 0.1333  1.76
Co 0.1037 0.1037 0.6126  0.96
Co 0.6126 0.1037 0.1037  0.96
Co 0.1333 0.6031 0.6031  1.76
Co 0.1037 0.6126 0.1037  0.96
Co 0.6031 0.1333 0.6031  1.76
Ni 0.5000 0.0000 0.0000  0.79
Ni 0.0000 0.5000 0.0000  0.79
Ni 0.0000 0.0000 0.5000  0.79

Formation energy = 0.24 eV/atom
VASP energy = -6.491 eV per atom
Space group = R-3m (166)



[17]
# RhSeCl2

A relaxed structure of RhSeCl2 (GGA-PBE, the Alexandria database).

abc: 3.1074 3.1052 8.8318
angles: 90.00 90.00 90.00
Site moments in Bohr magnetons follow the coordinates.
Positions (direct):
Rh 0.0000 0.0000 0.5288  0.00
Se 0.5000 0.5000 0.6791  0.01
Cl 0.0000 0.0000 0.9527  0.43
Cl 0.5000 0.5000 0.3395  0.01

Energy relative to the lowest polymorph listed for this composition = 412.3 meV per atom
Raw formation energy = 0.05 eV/atom
VASP energy = -3.586 eV per atom
Space group = P4mm (99)



[18]
# PrTh

A relaxed structure of PrTh (GGA-PBE, the Alexandria database).

abc: 6.3378 6.3378 6.3378
angles: 33.08 33.08 33.08
Positions (direct):
Pr 0.0000 0.0000 0.0000
Th 0.5000 0.5000 0.5000

Formation energy = 0.07 eV/atom
Energy relative to the lowest polymorph listed for this composition = 53.3 meV per atom
VASP energy = -6.029 eV per atom
Space group = R-3m (166)



[19]
# Sm2UTe5

A relaxed structure of Sm2UTe5 (GGA-PBE, the Alexandria database).

abc: 4.3747 8.6203 13.7160
angles: 90.00 90.00 90.00
Site moments in Bohr magnetons follow the coordinates.
Positions (direct):
Sm 0.5000 0.5271 0.1769  0.00
Sm 0.5000 0.4729 0.8231  0.00
Sm 0.5000 0.9729 0.6769  0.00
Sm 0.5000 0.0271 0.3231  0.00
U 0.0000 0.5000 0.5000  2.20
U 0.0000 0.0000 0.0000  2.20
Te 0.0000 0.0000 0.5000  -0.04
Te 0.0000 0.5000 0.0000  -0.04
Te 0.0000 0.8191 0.1962  -0.03
Te 0.0000 0.1809 0.8038  -0.03
Te 0.0000 0.6809 0.6962  -0.03
Te 0.0000 0.3191 0.3038  -0.03
Te 0.5000 0.6733 0.3945  -0.07
Te 0.5000 0.3267 0.6055  -0.07
Te 0.5000 0.8267 0.8945  -0.07
Te 0.5000 0.1733 0.1055  -0.07

Energy relative to the lowest polymorph listed for this composition = 50.9 meV per atom
Raw formation energy = -1.04 eV/atom
VASP energy = -5.594 eV per atom
Space group = Pbam (55)



[20]
# AcPmTlBi

A relaxed structure of AcPmTlBi (GGA-PBE, the Alexandria database).

abc: 5.7295 5.7295 5.7295
angles: 60.00 60.00 60.00
Positions (direct):
Ac 0.7500 0.7500 0.7500
Bi 0.5000 0.5000 0.5000
Tl 0.0000 0.0000 0.0000
Pm 0.2500 0.2500 0.2500

Formation energy = -0.46 eV/atom
VASP energy = -4.241 eV per atom
Space group = F-43m (216)



[21]
# CsTlICl

A relaxed structure of CsTlICl (GGA-PBE, the Alexandria database).

abc: 6.0643 6.0643 6.0643
angles: 60.00 60.00 60.00
Positions (direct):
Cs 0.5000 0.5000 0.5000
I 0.7500 0.7500 0.7500
Tl 0.0000 0.0000 0.0000
Cl 0.2500 0.2500 0.2500

Energy relative to the lowest polymorph listed for this composition = 60.2 meV per atom
Raw formation energy = -1.20 eV/atom
VASP energy = -2.857 eV per atom
Space group = F-43m (216)



[22]
# Ir2OsBr

A relaxed structure of Ir2OsBr (GGA-PBE, the Alexandria database).

abc: 2.8402 2.8402 8.0202
angles: 90.00 90.00 90.00
Positions (direct):
Ir 0.0000 0.0000 0.0300
Ir 0.5000 0.5000 0.2621
Os 0.0000 0.0000 0.4831
Br 0.5000 0.5000 0.7248

Energy relative to the lowest polymorph listed for this composition = 243.2 meV per atom
Raw formation energy = 0.85 eV/atom
VASP energy = -6.806 eV per atom
Space group = P4mm (99)



[23]
# PuHfHg

A relaxed structure of PuHfHg (GGA-PBE, the Alexandria database).

abc: 3.2121 3.2121 7.2049
angles: 102.88 102.88 90.00
Site moments in Bohr magnetons follow the coordinates.
Positions (direct):
Hf 0.6606 0.6606 0.3212  -0.18
Hg 0.0094 0.0094 0.0188  0.00
Pu 0.3300 0.3300 0.6600  5.23

Formation energy = 0.01 eV/atom
Energy relative to the lowest polymorph listed for this composition = 0.0 meV per atom
VASP energy = -8.185 eV per atom
Space group = I4mm (107)



[24]
# TaSiTe2

A relaxed structure of TaSiTe2 (GGA-PBE, the Alexandria database).

abc: 3.4332 3.4332 7.2537
angles: 90.00 90.00 90.00
Positions (direct):
Si 0.5000 0.5000 0.2500
Ta 0.5000 0.5000 0.7500
Te 0.0000 0.0000 0.9802
Te 0.0000 0.0000 0.5198

Raw formation energy = 0.24 eV/atom
VASP energy = -5.651 eV per atom
Space group = P4/mmm (123)



[25]
# KBe2Ag

A relaxed structure of KBe2Ag (GGA-PBE, the Alexandria database).

abc: 3.1488 3.1488 7.6722
angles: 90.00 90.00 90.00
Site moments in Bohr magnetons follow the coordinates.
Positions (direct):
Be 0.0000 0.0000 0.8989  0.07
Be 0.0000 0.0000 0.6011  0.07
K 0.5000 0.5000 0.2500  0.05
Ag 0.5000 0.5000 0.7500  0.02

Formation energy = 0.62 eV/atom
Energy relative to the lowest polymorph listed for this composition = 357.5 meV per atom
VASP energy = -2.228 eV per atom
Space group = P4/mmm (123)



[26]
# AcSm2Er7

A relaxed structure of AcSm2Er7 (GGA-PBE, the Alexandria database).

abc: 4.9284 8.8417 8.8417
angles: 98.32 90.00 90.01
Positions (direct):
Ac 0.0000 0.0000 0.0000
Sm 0.5001 0.7941 0.2059
Sm 0.4999 0.2059 0.7941
Er 0.0000 0.6333 0.3667
Er 0.0000 0.3667 0.6333
Er 0.4999 0.1376 0.3910
Er 0.5001 0.8624 0.6090
Er 0.5001 0.3910 0.1376
Er 0.4999 0.6090 0.8624
Er 0.5000 0.5000 0.5000

Formation energy = 0.62 eV/atom
VASP energy = -3.927 eV per atom
Space group = Cmmm (65)



[27]
# ZrAlPd4

A relaxed structure of ZrAlPd4 (GGA-PBE, the Alexandria database).

abc: 6.7831 5.6826 5.6825
angles: 90.00 90.00 90.00
Positions (direct):
Zr 0.0000 0.2500 0.7501
Zr 0.0000 0.7500 0.2499
Al 0.5000 0.2500 0.2501
Al 0.5000 0.7500 0.7499
Pd 0.2756 0.5000 0.0000
Pd 0.2754 0.5000 0.5000
Pd 0.7244 0.0000 0.0000
Pd 0.7246 0.5000 0.5000
Pd 0.7246 0.0000 0.5000
Pd 0.2756 0.0000 0.0000
Pd 0.2754 0.0000 0.5000
Pd 0.7244 0.5000 0.0000

Formation energy = -0.56 eV/atom
VASP energy = -6.070 eV per atom
Space group = P4/mmm (123)